A relaxed structure of Li2VO2F. Source: Alexandria via LeMat-Bulk, functional PBE+U.

a = 5.956 Å, b = 8.422 Å, c = 9.520 Å
α = 90.00°, β = 107.80°, γ = 90.00°
Space group Cc (No. 9)
One atom of each set of equivalent atoms:
Li1 0.000 0.120 0.000 (multiplicity 4)
Li2 0.182 0.127 0.373 (multiplicity 4)
Li3 0.332 0.125 0.671 (multiplicity 4)
Li4 0.487 0.129 0.980 (multiplicity 4)
V1 0.171 0.376 0.861 (multiplicity 4)
V2 0.341 0.375 0.181 (multiplicity 4)
O1 0.023 0.380 0.015 (multiplicity 4)
O2 0.157 0.140 0.833 (multiplicity 4)
O3 0.177 0.388 0.334 (multiplicity 4)
O4 0.493 0.372 0.018 (multiplicity 4)
F1 0.334 0.126 0.185 (multiplicity 4)
F2 0.345 0.376 0.688 (multiplicity 4)

Output
- ρ: 3.384 g/cm³
- E_tot: -6.1323 eV/atom